1.
# CaTiSe2 | the Alexandria database | PBEsol | relaxed
# Formation energy (no corrections) = -0.9900 eV per atom
# Distance to the lowest polymorph of the same formula = 0.59 eV per formula unit
data_CaTiSe2
_cell_length_a 3.6421
_cell_length_b 3.6421
_cell_length_c 26.0515
_cell_angle_alpha 90.00
_cell_angle_beta 90.00
_cell_angle_gamma 120.00
_symmetry_space_group_name_H-M 'R -3 m'
_symmetry_Int_Tables_number 166
_symmetry_space_group_name_Hall '-R 3 2"'
loop_
_atom_site_label
_atom_site_type_symbol
_atom_site_fract_x
_atom_site_fract_y
_atom_site_fract_z
_atom_site_occupancy
Ca1 Ca 0.0000 0.0000 0.0000 1
Ti1 Ti 0.0000 0.0000 0.5000 1
Se1 Se 0.0000 0.0000 0.1092 1

---

2.
# CaWSe4 | the Alexandria database | PBEsol | relaxed
# Formation energy (no corrections) = 0.7544 eV per atom
data_CaWSe4
_cell_length_a 8.027
_cell_length_b 8.027
_cell_length_c 8.027
_cell_angle_alpha 90.00
_cell_angle_beta 90.00
_cell_angle_gamma 90.00
_symmetry_space_group_name_H-M 'F -4 3 m'
_symmetry_Int_Tables_number 216
_symmetry_space_group_name_Hall 'F -4 2 3'
loop_
_atom_site_label
_atom_site_type_symbol
_atom_site_fract_x
_atom_site_fract_y
_atom_site_fract_z
_atom_site_occupancy
Ca1 Ca 0.000 0.000 0.000 1
W1 W 0.250 0.250 0.750 1
Se1 Se 0.124 0.124 0.376 1

---

3.
# CaWSe2 | the Alexandria database | PBEsol | relaxed
# Formation energy (no corrections) = -0.1631 eV per atom
data_CaWSe2
_cell_length_a 3.160
_cell_length_b 3.160
_cell_length_c 8.694
_cell_angle_alpha 90.00
_cell_angle_beta 90.00
_cell_angle_gamma 90.00
_symmetry_space_group_name_H-M 'P 4 m m'
_symmetry_Int_Tables_number 99
loop_
_symmetry_equiv_pos_as_xyz
'x,y,z'
'-y,x,z'
'-x,-y,z'
'y,-x,z'
'-x,y,z'
'y,x,z'
'x,-y,z'
'-y,-x,z'
loop_
_atom_site_label
_atom_site_type_symbol
_atom_site_fract_x
_atom_site_fract_y
_atom_site_fract_z
_atom_site_occupancy
Ca1 Ca 0.000 0.000 0.000 1
W1 W 0.500 0.500 0.716 1
Se1 Se 0.000 0.000 0.577 1
Se2 Se 0.500 0.500 0.226 1

---

no.,Fermi-level density of states (states/eV/atom)
1,0.848
2,0.873
3,0.824